Computed, not measured: Sm3Dy2UN6 after structural relaxation at the PBE level of DFT.

Formation energy without anion corrections, eV per formula unit: -19.1
Crystal system: monoclinic
Uncorrected energy, eV/atom: -8.639

a b c (Å): 6.0636 6.0636 6.1039
angles (deg): 99.54 99.54 119.95
Last column: nearest neighbours and their distance in Å.
Element x y z (fractional)
Sm 0.1679 0.8321 0.5000  6 N 2.51-2.65
Sm 0.8321 0.1679 0.5000  6 N 2.51-2.65
Sm 0.5000 0.5000 0.5000  6 N 2.51-2.66
N 0.6115 0.9238 0.7716  1 U 2.31, 2 Dy 2.47, 2 Sm 2.51
N 0.9238 0.6115 0.7716  1 U 2.31, 2 Dy 2.47, 2 Sm 2.51
N 0.0762 0.3885 0.2284  1 U 2.31, 2 Dy 2.47, 2 Sm 2.51
N 0.7637 0.7637 0.2283  1 U 2.31, 2 Dy 2.46, 2 Sm 2.52
N 0.2363 0.2363 0.7717  1 U 2.31, 2 Dy 2.46, 2 Sm 2.52
N 0.3885 0.0762 0.2284  1 U 2.31, 2 Dy 2.47, 2 Sm 2.51
Dy 0.3337 0.6663 0.0000  6 N 2.46-2.47
Dy 0.6663 0.3337 0.0000  6 N 2.46-2.47
U 0.0000 0.0000 0.0000  6 N 2.31